# 1
Material: ZnIrRh2
Method: DFT, SCAN
State: single point on PBEsol structure

Lattice parameters (Å, degrees): 2.7073 2.7073 7.3803 90.00 90.00 90.00
Last column: nearest neighbours and their distance in Å.
Space group P4/mmm (No. 123)
Asymmetric unit:
Zn1 0.0000 0.0000 0.0000  8 Rh 2.66, 4 Zn 2.71
Ir1 0.0000 0.0000 0.5000  8 Rh 2.66, 4 Ir 2.71
Rh1 0.5000 0.5000 0.2503  4 Ir 2.66, 4 Zn 2.66, 4 Rh 2.71

Computed properties:
- Final energy: -38.22 eV/atom
- Magnetic moment: 0.00 μB per cell

***

# 2
Material: ZnIrRh2
Method: DFT, SCAN
State: single point on PBEsol structure

Lattice parameters (Å, degrees): 8.8156 2.7061 4.6044 90.00 99.78 90.00
Last column: nearest neighbours and their distance in Å.
Space group C2/m (No. 12)
Asymmetric unit:
Zn1 0.0000 0.0000 0.0000  6 Rh 2.64-2.70, 4 Ir 2.67, 2 Zn 2.71
Ir1 0.0000 0.5000 0.5000  6 Rh 2.65-2.67, 4 Zn 2.67, 2 Ir 2.71
Rh1 0.2469 0.0000 0.7465  3 Zn 2.64-2.70, 3 Ir 2.65-2.67, 6 Rh 2.65-2.71

Computed properties:
- Final energy: -38.18 eV/atom
- Magnetic moment: 0.00 μB per cell

***

# 3
Material: ZnIrRh2
Method: DFT, SCAN
State: single point on PBEsol structure

Lattice parameters (Å, degrees): 2.7694 4.4626 8.8087 90.00 90.00 90.00
Last column: nearest neighbours and their distance in Å.
Space group Imm2 (No. 44)
Asymmetric unit:
Zn1 0.0000 0.0000 0.0000  6 Rh 2.50-2.63, 2 Ir 2.53, 2 Zn 2.77
Ir1 0.0000 0.5000 0.7405  2 Zn 2.53, 6 Rh 2.63-2.66, 2 Ir 2.77
Rh1 0.0000 0.0000 0.4982  4 Zn 2.63, 2 Ir 2.66, 4 Rh 2.72-2.77
Rh2 0.0000 0.5000 0.2636  2 Zn 2.50, 4 Ir 2.63, 4 Rh 2.72-2.77

Computed properties:
- Final energy: -38.05 eV/atom
- Magnetic moment: 2.47 μB per cell